Entry 1:
A plane-wave DFT calculation with PBE was carried out for a relaxed LiTi3Pb2O8 crystal.

The structure in CIF format:
```
data_LiTi3Pb2O8
_symmetry_space_group_name_H-M 'P 1'
_symmetry_Int_Tables_number 1
_cell_length_a 6.012
_cell_length_b 6.012
_cell_length_c 7.447
_cell_angle_alpha 66.19
_cell_angle_beta 66.19
_cell_angle_gamma 60.00
loop_
_symmetry_equiv_pos_as_xyz
'x,y,z'
loop_
_atom_site_label
_atom_site_type_symbol
_atom_site_fract_x
_atom_site_fract_y
_atom_site_fract_z
Li1 Li 0.943 0.943 0.172
Ti1 Ti 0.494 0.994 0.017
Ti2 Ti 0.994 0.494 0.017
Ti3 Ti 0.494 0.494 0.017
Pb1 Pb 0.116 0.116 0.651
Pb2 Pb 0.515 0.515 0.454
O1 O 0.276 0.276 0.171
O2 O 0.713 0.713 0.862
O3 O 0.219 0.219 0.862
O4 O 0.699 0.219 0.862
O5 O 0.219 0.699 0.862
O6 O 0.754 0.300 0.192
O7 O 0.300 0.754 0.192
O8 O 0.754 0.754 0.192
```

Values from the calculation:
**Crystal system**: trigonal
**Total energy**: -0.5541 Ry/atom
**Energy relative to the elements, uncorrected**: -2.3472 eV/atom
**Symmetry**: No. 160

***

Entry 2:
A plane-wave DFT calculation with PBE was carried out for a relaxed Tb2CdPbAu4 crystal.

The structure in CIF format:
```
data_Tb2CdPbAu4
_symmetry_space_group_name_H-M 'P 1'
_symmetry_Int_Tables_number 1
_cell_length_a 4.979
_cell_length_b 4.979
_cell_length_c 8.738
_cell_angle_alpha 73.45
_cell_angle_beta 73.45
_cell_angle_gamma 60.00
loop_
_symmetry_equiv_pos_as_xyz
'x,y,z'
loop_
_atom_site_label
_atom_site_type_symbol
_atom_site_fract_x
_atom_site_fract_y
_atom_site_fract_z
Tb1 Tb 0.749 0.749 0.753
Tb2 Tb 0.251 0.251 0.247
Cd1 Cd 0.500 0.500 0.500
Pb1 Pb 0.000 0.000 0.000
Au1 Au 0.380 0.380 0.860
Au2 Au 0.869 0.869 0.392
Au3 Au 0.131 0.131 0.608
Au4 Au 0.620 0.620 0.140
```

Values from the calculation:
**Crystal system**: trigonal
**Total energy**: -0.2945 Ry/atom
**Calculated formation energy**: -0.633 eV per atom
**Symmetry**: No. 166

***

Entry 3:
A plane-wave DFT calculation with PBE was carried out for a relaxed MnZnCu crystal.

The structure in CIF format:
```
data_MnZnCu
_symmetry_space_group_name_H-M 'P 1'
_symmetry_Int_Tables_number 1
_cell_length_a 5.634
_cell_length_b 5.634
_cell_length_c 2.738
_cell_angle_alpha 75.94
_cell_angle_beta 75.93
_cell_angle_gamma 28.13
loop_
_symmetry_equiv_pos_as_xyz
'x,y,z'
loop_
_atom_site_label
_atom_site_type_symbol
_atom_site_fract_x
_atom_site_fract_y
_atom_site_fract_z
Cu1 Cu 0.000 0.000 0.000
Mn1 Mn 0.664 0.664 0.336
Zn1 Zn 0.336 0.336 0.664
```

Values from the calculation:
**Crystal system**: tetragonal
**Total energy**: -0.3516 Ry/atom
**Calculated formation energy**: 0.063 eV per atom
**Symmetry**: No. 107

***

Entry 4:
A plane-wave DFT calculation with PBE was carried out for a relaxed KNaCoRe2 crystal.

The structure in CIF format:
```
data_KNaCoRe2
_symmetry_space_group_name_H-M 'P 1'
_symmetry_Int_Tables_number 1
_cell_length_a 4.492
_cell_length_b 5.557
_cell_length_c 4.492
_cell_angle_alpha 90.00
_cell_angle_beta 90.00
_cell_angle_gamma 90.00
loop_
_symmetry_equiv_pos_as_xyz
'x,y,z'
loop_
_atom_site_label
_atom_site_type_symbol
_atom_site_fract_x
_atom_site_fract_y
_atom_site_fract_z
Re1 Re 0.000 0.000 0.500
Re2 Re 0.500 0.000 0.000
K1 K 0.500 0.500 0.500
Co1 Co 0.000 0.000 0.000
Na1 Na 0.000 0.500 0.000
```

Values from the calculation:
**Crystal system**: tetragonal
**Total energy**: -0.3996 Ry/atom
**Calculated formation energy**: 1.447 eV per atom
**Symmetry**: No. 123

***

Entry 5:
A plane-wave DFT calculation with PBE was carried out for a relaxed TiCuHg2S crystal.

The structure in CIF format:
```
data_TiCuHg2S
_symmetry_space_group_name_H-M 'P 1'
_symmetry_Int_Tables_number 1
_cell_length_a 5.378
_cell_length_b 4.793
_cell_length_c 5.378
_cell_angle_alpha 90.00
_cell_angle_beta 90.00
_cell_angle_gamma 90.00
loop_
_symmetry_equiv_pos_as_xyz
'x,y,z'
loop_
_atom_site_label
_atom_site_type_symbol
_atom_site_fract_x
_atom_site_fract_y
_atom_site_fract_z
S1 S 0.500 0.500 0.500
Hg1 Hg 0.000 0.000 0.500
Hg2 Hg 0.500 0.000 0.000
Cu1 Cu 0.000 0.500 0.000
Ti1 Ti 0.000 0.000 0.000
```

Values from the calculation:
**Crystal system**: tetragonal
**Total energy**: -0.1735 Ry/atom
**Energy relative to the elements, uncorrected**: 0.9837 eV/atom
**Symmetry**: No. 123

***

Entry 6:
A plane-wave DFT calculation with PBE was carried out for a relaxed KRe2Sb crystal.

The structure in CIF format:
```
data_KRe2Sb
_symmetry_space_group_name_H-M 'P 1'
_symmetry_Int_Tables_number 1
_cell_length_a 4.737
_cell_length_b 4.737
_cell_length_c 4.737
_cell_angle_alpha 119.92
_cell_angle_beta 119.92
_cell_angle_gamma 90.14
loop_
_symmetry_equiv_pos_as_xyz
'x,y,z'
loop_
_atom_site_label
_atom_site_type_symbol
_atom_site_fract_x
_atom_site_fract_y
_atom_site_fract_z
K1 K 0.750 0.250 0.500
Re1 Re 0.000 0.000 0.000
Re2 Re 0.250 0.750 0.500
Sb1 Sb 0.500 0.500 0.000
```

Values from the calculation:
**Crystal system**: tetragonal
**Total energy**: -0.4597 Ry/atom
**Energy relative to the elements, uncorrected**: 1.2750 eV/atom
**Symmetry**: No. 119

***

Entry 7:
A plane-wave DFT calculation with PBE was carried out for a relaxed ScTcN crystal.

The structure in CIF format:
```
data_ScTcN
_symmetry_space_group_name_H-M 'P 1'
_symmetry_Int_Tables_number 1
_cell_length_a 3.496
_cell_length_b 3.496
_cell_length_c 6.544
_cell_angle_alpha 90.00
_cell_angle_beta 90.00
_cell_angle_gamma 86.91
loop_
_symmetry_equiv_pos_as_xyz
'x,y,z'
loop_
_atom_site_label
_atom_site_type_symbol
_atom_site_fract_x
_atom_site_fract_y
_atom_site_fract_z
N1 N 0.241 0.741 0.815
N2 N 0.741 0.241 0.185
Sc1 Sc 0.310 0.810 0.146
Sc2 Sc 0.810 0.310 0.854
Tc1 Tc 0.958 0.958 0.500
Tc2 Tc 0.458 0.458 0.500
```

Values from the calculation:
**Crystal system**: orthorhombic
**Total energy**: -0.6437 Ry/atom
**Energy relative to the elements, uncorrected**: -0.4164 eV/atom
**Symmetry**: No. 39

***

Entry 8:
A plane-wave DFT calculation with PBE was carried out for a relaxed BeAs2Ir crystal.

The structure in CIF format:
```
data_BeAs2Ir
_symmetry_space_group_name_H-M 'P 1'
_symmetry_Int_Tables_number 1
_cell_length_a 4.417
_cell_length_b 4.284
_cell_length_c 4.307
_cell_angle_alpha 56.30
_cell_angle_beta 90.00
_cell_angle_gamma 90.00
loop_
_symmetry_equiv_pos_as_xyz
'x,y,z'
loop_
_atom_site_label
_atom_site_type_symbol
_atom_site_fract_x
_atom_site_fract_y
_atom_site_fract_z
Be1 Be 0.000 0.555 0.553
As1 As 0.000 0.875 0.877
As2 As 0.500 0.375 0.373
Ir1 Ir 0.500 0.695 0.697
```

Values from the calculation:
**Crystal system**: monoclinic
**Total energy**: -0.4067 Ry/atom
**Calculated formation energy**: -0.062 eV per atom
**Symmetry**: No. 6

***

Entry 9:
A plane-wave DFT calculation with PBE was carried out for a relaxed NaBAs2 crystal.

The structure in CIF format:
```
data_NaBAs2
_symmetry_space_group_name_H-M 'P 1'
_symmetry_Int_Tables_number 1
_cell_length_a 5.407
_cell_length_b 5.407
_cell_length_c 7.082
_cell_angle_alpha 67.56
_cell_angle_beta 67.56
_cell_angle_gamma 90.00
loop_
_symmetry_equiv_pos_as_xyz
'x,y,z'
loop_
_atom_site_label
_atom_site_type_symbol
_atom_site_fract_x
_atom_site_fract_y
_atom_site_fract_z
Na1 Na 0.000 0.000 0.000
Na2 Na 0.750 0.250 0.500
As1 As 0.481 0.125 0.250
As2 As 0.269 0.625 0.250
As3 As 0.375 0.519 0.750
As4 As 0.875 0.731 0.750
B1 B 0.500 0.500 0.000
B2 B 0.250 0.750 0.500
```

Values from the calculation:
**Distance to the lowest polymorph of the same formula**: 0.0000 eV per atom
**Crystal system**: tetragonal
**Total energy**: -0.3010 Ry/atom
**Calculated formation energy**: 0.228 eV per atom
**Symmetry**: No. 122

***

Entry 10:
A plane-wave DFT calculation with PBE was carried out for a relaxed Ca2AgAs3Pd4 crystal.

The structure in CIF format:
```
data_Ca2AgAs3Pd4
_symmetry_space_group_name_H-M 'P 1'
_symmetry_Int_Tables_number 1
_cell_length_a 4.324
_cell_length_b 4.324
_cell_length_c 10.541
_cell_angle_alpha 90.00
_cell_angle_beta 90.00
_cell_angle_gamma 90.00
loop_
_symmetry_equiv_pos_as_xyz
'x,y,z'
loop_
_atom_site_label
_atom_site_type_symbol
_atom_site_fract_x
_atom_site_fract_y
_atom_site_fract_z
Ca1 Ca 0.500 0.000 0.247
Ca2 Ca 0.000 0.500 0.753
Ag1 Ag 0.500 0.500 0.500
As1 As 0.000 0.000 0.500
As2 As 0.500 0.000 0.872
As3 As 0.000 0.500 0.128
Pd1 Pd 0.500 0.500 0.000
Pd2 Pd 0.000 0.000 0.000
Pd3 Pd 0.500 0.000 0.645
Pd4 Pd 0.000 0.500 0.355
```

Values from the calculation:
**Crystal system**: tetragonal
**Total energy**: -0.3531 Ry/atom
**Calculated formation energy**: -0.647 eV per atom
**Symmetry**: No. 115